[1]
Mn2BeCuAu | PBE | optimized geometry

- Total DFT energy (no corrections): -4.805 eV/atom
- Energy of formation: 104 kJ/mol of atoms

Cell: 4.489 4.706 4.489 Å, 90.00 90.00 90.00°
Site moments in Bohr magnetons follow the coordinates.
Fractional coordinates of all 5 atoms:
Be 0.500 0.500 0.500  -0.09
Mn 0.000 0.000 0.500  3.97
Mn 0.500 0.000 0.000  3.77
Au 0.000 0.500 0.000  0.01
Cu 0.000 0.000 0.000  0.23

---

[2]
Tc2Ni21B6 | PBE | optimized geometry

- Total DFT energy (no corrections): -6.466 eV/atom
- Energy of formation: -18 kJ/mol of atoms

Cell: 7.415 7.415 7.415 Å, 60.00 60.00 60.00°
Fractional coordinates of all 29 atoms:
Tc 0.750 0.750 0.750
Tc 0.250 0.250 0.250
Ni 0.000 0.000 0.000
Ni 0.617 0.617 0.150
Ni 0.617 0.617 0.617
Ni 0.617 0.150 0.617
Ni 0.150 0.617 0.617
Ni 0.383 0.383 0.850
Ni 0.383 0.383 0.383
Ni 0.383 0.850 0.383
Ni 0.850 0.383 0.383
Ni 0.660 0.000 0.340
Ni 0.000 0.660 0.340
Ni 0.000 0.000 0.340
Ni 0.000 0.660 0.000
Ni 0.660 0.000 0.000
Ni 0.000 0.000 0.660
Ni 0.000 0.340 0.000
Ni 0.000 0.340 0.660
Ni 0.660 0.340 0.000
Ni 0.340 0.000 0.660
Ni 0.340 0.000 0.000
Ni 0.340 0.660 0.000
B 0.268 0.732 0.268
B 0.732 0.268 0.268
B 0.732 0.732 0.268
B 0.732 0.268 0.732
B 0.268 0.732 0.732
B 0.268 0.268 0.732

---

[3]
Pu4TcGe4 | PBE | optimized geometry

- Total DFT energy (no corrections): -9.622 eV/atom
- Energy of formation: -5 kJ/mol of atoms

Cell: 5.839 6.588 6.588 Å, 78.68 63.70 63.70°
Site moments in Bohr magnetons follow the coordinates.
Fractional coordinates of all 9 atoms:
Pu 0.745 0.666 0.845  5.31
Pu 0.255 0.334 0.155  5.31
Pu 0.589 0.155 0.666  5.31
Pu 0.411 0.845 0.334  5.31
Tc 0.000 0.000 0.000  -0.15
Ge 0.706 0.358 0.230  -0.01
Ge 0.294 0.642 0.770  -0.01
Ge 0.936 0.770 0.358  -0.01
Ge 0.064 0.230 0.642  -0.01

---

[4]
TeSIN2 | PBE | optimized geometry

- Total DFT energy (no corrections): -3.341 eV/atom
- E_form (uncorrected): 1.753 eV per atom

Cell: 3.947 3.947 7.256 Å, 90.00 90.00 90.00°
Fractional coordinates of all 5 atoms:
I 0.000 0.000 0.000
S 0.000 0.000 0.500
Te 0.500 0.500 0.500
N 0.000 0.500 0.000
N 0.500 0.000 0.000